Arrangement w

Material: CrHg3O
Method: DFT, PBE+U
State: relaxed

Values from the calculation:
density: 9.8 Mg/m³
crystal system: cubic
volume: 113.9 Å³/cell

Unit cell a=4.847 b=4.847 c=4.847 alpha=90.00 beta=90.00 gamma=90.00
Last column: magnetic moment on the atom in μB.
Positions (direct):
Hg1 0.000 0.000 0.500  -0.07
Hg2 0.000 0.500 0.000  -0.07
Hg3 0.500 0.000 0.000  -0.03
Cr1 0.500 0.500 0.500  4.38
O1 0.000 0.000 0.000  -0.13

=====

Arrangement x

Material: CrHg3O
Method: DFT, PBE+U
State: relaxed

Values from the calculation:
density: 6.7 Mg/m³
crystal system: cubic
volume: 164.8 Å³/cell

Unit cell a=5.483 b=5.483 c=5.483 alpha=90.00 beta=90.00 gamma=90.00
Last column: magnetic moment on the atom in μB.
Positions (direct):
Hg1 0.500 0.000 0.000  0.06
Hg2 0.000 0.000 0.500  0.00
Hg3 0.000 0.500 0.000  0.04
O1 0.500 0.500 0.500  -1.05
Cr1 0.000 0.000 0.000  4.30

=====

It is arrangement w that is the most stable of them.

=====

Arrangement w

Material: Cr2HgO
Method: DFT, PBE+U
State: relaxed

Values from the calculation:
density: 7.8 Mg/m³
crystal system: cubic
volume: 67.9 Å³/cell

Unit cell a=4.580 b=4.580 c=4.580 alpha=60.00 beta=60.00 gamma=60.00
Last column: magnetic moment on the atom in μB.
Positions (direct):
Cr1 0.250 0.250 0.250  4.35
Cr2 0.750 0.750 0.750  4.35
Hg1 0.500 0.500 0.500  0.15
O1 0.000 0.000 0.000  0.10

=====

Arrangement x

Material: Cr2HgO
Method: DFT, PBE+U
State: relaxed

Values from the calculation:
density: 6.2 Mg/m³
crystal system: tetragonal
volume: 170.8 Å³/cell

Unit cell a=5.671 b=5.671 c=6.656 alpha=64.79 beta=64.79 gamma=90.00
Last column: magnetic moment on the atom in μB.
Positions (direct):
Cr1 0.875 0.696 0.750  3.98
Cr2 0.446 0.125 0.250  3.99
Cr3 0.375 0.554 0.750  3.96
Cr4 0.304 0.625 0.250  3.96
O1 0.250 0.750 0.500  -0.08
O2 0.500 0.500 0.000  -0.08
Hg1 0.750 0.250 0.500  0.03
Hg2 0.000 0.000 0.000  0.03

=====

It is arrangement x that is the most stable of them.

=====

Arrangement w

Material: CrHgPO2
Method: DFT, PBE+U
State: relaxed

Values from the calculation:
density: 7.0 Mg/m³
crystal system: tetragonal
volume: 74.8 Å³/cell

Unit cell a=3.718 b=3.718 c=5.409 alpha=90.00 beta=90.00 gamma=90.00
Last column: magnetic moment on the atom in μB.
Positions (direct):
Hg1 0.500 0.500 0.500  0.00
O1 0.000 0.500 0.000  -0.33
O2 0.500 0.000 0.000  -0.33
P1 0.000 0.000 0.500  -0.16
Cr1 0.000 0.000 0.000  2.46

=====

Arrangement x

Material: CrHgPO2
Method: DFT, PBE+U
State: relaxed

Values from the calculation:
density: 5.9 Mg/m³
crystal system: tetragonal
volume: 88.9 Å³/cell

Unit cell a=4.140 b=4.140 c=5.190 alpha=90.00 beta=90.00 gamma=90.00
Last column: magnetic moment on the atom in μB.
Positions (direct):
P1 0.000 0.000 0.500  -0.36
Hg1 0.000 0.000 0.000  -0.02
O1 0.500 0.000 0.000  -0.25
O2 0.000 0.500 0.000  -0.25
Cr1 0.500 0.500 0.500  4.02

=====

It is arrangement w that is the most stable of them.